No. 1
## PmSnAs2O8 (PBE)

Data for PmSnAs2O8 after structural relaxation.

Output
The value obtained for the total energy is -76.85 eV per cell.

Geometry as CIF:
```
data_PmSnAs2O8
_chemical_formula_sum 'Pm1 Sn1 As2 O8'
_space_group_name_H-M_alt 'P -3 m 1'
_space_group_IT_number 164
_space_group_name_Hall '-P 3 2"'
_cell_length_a 5.6557
_cell_length_b 5.6557
_cell_length_c 6.8660
_cell_angle_alpha 90.00
_cell_angle_beta 90.00
_cell_angle_gamma 120.00
loop_
_atom_site_label
_atom_site_type_symbol
_atom_site_fract_x
_atom_site_fract_y
_atom_site_fract_z
Pm1 Pm 0.0000 0.0000 0.0000
Sn1 Sn 0.0000 0.0000 0.5000
As1 As 0.3333 0.6667 0.3353
O1 O 0.1669 0.3339 0.2438
O2 O 0.3333 0.6667 0.5771
```

=====

No. 2
## SrPm3As4O12 (PBE)

Data for SrPm3As4O12 after structural relaxation.

Output
The value obtained for the total energy is -396.54 eV per cell.

Geometry as CIF:
```
data_SrPm3As4O12
_chemical_formula_sum 'Sr3 Pm9 As12 O36'
_space_group_name_H-M_alt 'R 3 2'
_space_group_IT_number 155
_space_group_name_Hall 'R 3 2"'
_cell_length_a 11.6255
_cell_length_b 11.6255
_cell_length_c 8.8262
_cell_angle_alpha 90.00
_cell_angle_beta 90.00
_cell_angle_gamma 120.00
loop_
_atom_site_label
_atom_site_type_symbol
_atom_site_fract_x
_atom_site_fract_y
_atom_site_fract_z
Sr1 Sr 0.0000 0.0000 0.0000
Pm1 Pm 0.0000 0.5592 0.0000
As1 As 0.0000 0.0000 0.5000
As2 As 0.0000 0.4194 0.5000
O1 O 0.0000 0.5717 0.5000
O2 O 0.0000 0.8350 0.5000
O3 O 0.0323 0.1862 0.1985
```

=====

No. 3
## PmThAs2O8 (PBE)

Data for PmThAs2O8 after structural relaxation.

Output
The value obtained for the total energy is -178.35 eV per cell.

Geometry as CIF:
```
data_PmThAs2O8
_chemical_formula_sum 'Pm2 Th2 As4 O16'
_space_group_name_H-M_alt 'I -4 m 2'
_space_group_IT_number 119
_space_group_name_Hall 'I -4 -2'
_cell_length_a 7.361
_cell_length_b 7.361
_cell_length_c 6.649
_cell_angle_alpha 90.00
_cell_angle_beta 90.00
_cell_angle_gamma 90.00
loop_
_atom_site_label
_atom_site_type_symbol
_atom_site_fract_x
_atom_site_fract_y
_atom_site_fract_z
Pm1 Pm 0.000 0.000 0.000
Th1 Th 0.000 0.500 0.750
As1 As 0.000 0.000 0.500
As2 As 0.000 0.500 0.250
O1 O 0.000 0.186 0.689
O2 O 0.000 0.323 0.078
```